A relaxed HfBe9Co2 crystal. Source: the Alexandria database, functional PBE.

The total energy comes out at -181.348 eV/cell. The energy of formation comes out at -229 meV/atom.

It has space group R-3m (No. 166, hexagonal axes), with a = 4.3160 Å, b = 4.3160 Å, c = 20.3973 Å, α = 90.00°, β = 90.00° and γ = 120.00°. The distinct sites, in fractional coordinates, are Hf at (0.0000, 0.0000, 0.0000), Be at (0.0000, 0.0000, 0.3327), Be at (0.0000, 0.0000, 0.5000), Be at (0.0071, 0.5035, 0.9109) and Co at (0.0000, 0.0000, 0.1403).

A relaxed TlTeCl5 crystal. Source: the Alexandria database, functional PBE.

For the uncorrected formation energy, the calculation gives -689 meV/atom. The total energy comes out at -78.243 eV/cell.

It has space group C2/c (No. 15), with a = 12.195 Å, b = 8.512 Å, c = 10.562 Å, α = 90.00°, β = 114.28° and γ = 90.00°. The distinct sites, in fractional coordinates, are Tl at (0.000, 0.023, 0.250), Te at (0.000, 0.500, 0.000), Cl at (0.000, 0.457, 0.250), Cl at (0.066, 0.216, 0.009) and Cl at (0.215, 0.412, 0.612).

A relaxed VZn4Cu5 crystal. Source: the Alexandria database, functional PBE.

The total energy comes out at -34.820 eV/cell. The energy of formation comes out at -12 meV/atom.

It has space group P4/mmm (No. 123), with a = 2.822 Å, b = 2.822 Å, c = 16.321 Å, α = 90.00°, β = 90.00° and γ = 90.00°. The distinct sites, in fractional coordinates, are V at (0.000, 0.000, 0.000), Zn at (0.000, 0.000, 0.200), Zn at (0.000, 0.000, 0.401), Cu at (0.500, 0.500, 0.103), Cu at (0.500, 0.500, 0.301) and Cu at (0.500, 0.500, 0.500).

A relaxed LiPm2Ag2 crystal. Source: the Alexandria database, functional PBE.

Its offset from the most stable computed form is 55.5 kJ/mol of formula units. The total energy comes out at -69.623 eV/cell. The energy of formation comes out at -58 meV/atom.

It has space group Ibam (No. 72), with a = 6.349 Å, b = 13.237 Å, c = 6.158 Å, α = 90.00°, β = 90.00° and γ = 90.00°. The distinct sites, in fractional coordinates, are Li at (0.000, 0.000, 0.250), Pm at (0.175, 0.352, 0.000) and Ag at (0.191, 0.125, 0.000).

A relaxed LaNiAs2Ru crystal. Source: the Alexandria database, functional PBE.

The total energy comes out at -65.986 eV/cell. The energy of formation comes out at -742 meV/atom.

It has space group I-4m2 (No. 119), with a = 3.978 Å, b = 3.978 Å, c = 11.831 Å, α = 90.00°, β = 90.00° and γ = 90.00°. The distinct sites, in fractional coordinates, are La at (0.000, 0.000, 0.000), Ni at (0.000, 0.500, 0.750), As at (0.000, 0.000, 0.367) and Ru at (0.000, 0.500, 0.250).

A relaxed MnCdTc crystal. Source: the Alexandria database, functional PBE.

Its offset from the most stable computed form is 24.2 kJ/mol of formula units. The total energy comes out at -77.926 eV/cell. The energy of formation comes out at 323 meV/atom.

It has space group Fmm2 (No. 42), with a = 3.190 Å, b = 4.509 Å, c = 13.376 Å, α = 90.00°, β = 90.00° and γ = 90.00°. The distinct sites, in fractional coordinates, are Mn at (0.000, 0.000, 0.000), Cd at (0.000, 0.000, 0.323) and Tc at (0.000, 0.000, 0.638).

A relaxed Cd3GaCo crystal. Source: the Alexandria database, functional PBE.

Its offset from the most stable computed form is 235.6 kJ/mol of formula units. The total energy comes out at -8.300 eV/cell. The energy of formation comes out at 916 meV/atom.

It has space group Pm-3m (No. 221), with a = 5.063 Å, b = 5.063 Å, c = 5.063 Å, α = 90.00°, β = 90.00° and γ = 90.00°. The distinct sites, in fractional coordinates, are Cd at (0.000, 0.000, 0.500), Ga at (0.000, 0.000, 0.000) and Co at (0.500, 0.500, 0.500).

A relaxed KHfSe2 crystal. Source: the Alexandria database, functional PBE.

For the uncorrected formation energy, the calculation gives -595 meV/atom. The total energy comes out at -81.599 eV/cell.

It has space group Fm-3m (No. 225), with a = 7.080 Å, b = 7.080 Å, c = 7.080 Å, α = 90.00°, β = 90.00° and γ = 90.00°. The distinct sites, in fractional coordinates, are K at (0.000, 0.000, 0.000), Hf at (0.000, 0.000, 0.500) and Se at (0.250, 0.250, 0.250).

A relaxed Ru3Rh5 crystal. Source: the Alexandria database, functional PBE.

Its offset from the most stable computed form is 316.1 kJ/mol of formula units. The total energy comes out at -122.395 eV/cell. The energy of formation comes out at 423 meV/atom.

It has space group P6_3/mcm (No. 193), with a = 7.4944 Å, b = 7.4944 Å, c = 4.8784 Å, α = 90.00°, β = 90.00° and γ = 120.00°. The distinct sites, in fractional coordinates, are Ru at (0.0000, 0.4084, 0.2500), Rh at (0.0000, 0.2125, 0.7500) and Rh at (0.3333, 0.6667, 0.0000).

A relaxed Rb2BeC crystal. Source: the Alexandria database, functional PBE.

Its offset from the most stable computed form is 493.1 kJ/mol of formula units. The total energy comes out at -30.029 eV/cell. The energy of formation comes out at 1844 meV/atom.

It has space group Fm-3m (No. 225), with a = 7.984 Å, b = 7.984 Å, c = 7.984 Å, α = 90.00°, β = 90.00° and γ = 90.00°. The distinct sites, in fractional coordinates, are Rb at (0.250, 0.250, 0.250), Be at (0.000, 0.000, 0.000) and C at (0.000, 0.000, 0.500).

A relaxed ZrPbW2 crystal. Source: the Alexandria database, functional PBE.

The total energy comes out at -131.447 eV/cell. The energy of formation comes out at 1325 meV/atom.

It has space group I-42d (No. 122), with a = 7.747 Å, b = 7.747 Å, c = 5.689 Å, α = 90.00°, β = 90.00° and γ = 90.00°. The distinct sites, in fractional coordinates, are Zr at (0.000, 0.000, 0.000), Pb at (0.000, 0.000, 0.500) and W at (0.247, 0.250, 0.125).

A relaxed RbMnI3 crystal. Source: the Alexandria database, functional PBE.

For the uncorrected formation energy, the calculation gives -796 meV/atom. The total energy comes out at -112.618 eV/cell.

It has space group R-3c (No. 167, hexagonal axes), with a = 8.6259 Å, b = 8.6259 Å, c = 26.4140 Å, α = 90.00°, β = 90.00° and γ = 120.00°. The distinct sites, in fractional coordinates, are Rb at (0.0000, 0.0000, 0.0000), Mn at (0.0000, 0.0000, 0.2500) and I at (0.0000, 0.3037, 0.2500).

Question: What is the formula in the sixth record?
Answer: MnCdTc

Question: Number 12 is which compound?
Answer: RbMnI3